LaAlBr6 | PBE-GGA | relaxed

Results
Crystal system: monoclinic
ΔE_f (raw): -1444.9 meV per atom
ρ: 3.62 Mg/m³
Symmetry: No. 12
Electronic total energy: -30.27 eV per formula unit

Lattice parameters (Å, degrees): 6.858 13.150 6.830 90.00 106.16 90.00
Fractional positions:
La  0.000  0.000  0.000
La  0.500  0.500  0.000
Al  0.000  0.500  0.500
Al  0.500  0.000  0.500
Br  0.211  0.362  0.715
Br  0.211  0.638  0.715
Br  0.238  0.500  0.268
Br  0.262  0.000  0.732
Br  0.289  0.138  0.285
Br  0.289  0.862  0.285
Br  0.711  0.138  0.715
Br  0.711  0.862  0.715
Br  0.738  0.000  0.268
Br  0.762  0.500  0.732
Br  0.789  0.362  0.285
Br  0.789  0.638  0.285

Sm4Al12Ga | PBE-GGA | relaxed

Results
Crystal system: cubic
ρ: 4.78 Mg/m³
Symmetry: No. 229
Electronic total energy: -73.11 eV per formula unit

Lattice parameters (Å, degrees): 7.659 7.659 7.659 109.47 109.47 109.47
Fractional positions:
Sm  0.000  0.000  0.500
Sm  0.000  0.500  0.000
Sm  0.500  0.000  0.000
Sm  0.500  0.500  0.500
Al  0.000  0.310  0.310
Al  0.000  0.690  0.690
Al  0.250  0.500  0.750
Al  0.250  0.750  0.500
Al  0.310  0.000  0.310
Al  0.310  0.310  0.000
Al  0.500  0.250  0.750
Al  0.500  0.750  0.250
Al  0.690  0.000  0.690
Al  0.690  0.690  0.000
Al  0.750  0.250  0.500
Al  0.750  0.500  0.250
Ga  0.000  0.000  0.000

CdOsPb | PBE-GGA | relaxed

Results
Crystal system: hexagonal
ρ: 13.49 Mg/m³
Symmetry: No. 187
Electronic total energy: -13.26 eV per formula unit

Lattice parameters (Å, degrees): 4.673 4.673 3.318 90.00 90.00 120.00
Fractional positions:
Cd  0.000  0.000  0.000
Os  0.667  0.333  0.500
Pb  0.333  0.667  0.500

Pm3ScSn2 | PBE-GGA | relaxed

Results
Crystal system: tetragonal
ρ: 6.69 Mg/m³
Symmetry: No. 115
Electronic total energy: -32.07 eV per formula unit

Lattice parameters (Å, degrees): 4.564 4.564 8.546 90.00 90.00 90.00
Fractional positions:
Pm  0.000  0.000  0.000
Pm  0.000  0.500  0.652
Pm  0.500  0.000  0.348
Sc  0.500  0.500  0.000
Sn  0.000  0.500  0.271
Sn  0.500  0.000  0.729